# 1
First-principles (PBE-GGA) data for a relaxed structure of Tb6Tm12Cd, as listed in the Alexandria database.

```
data_Tb6Tm12Cd
_chemical_formula_sum 'Tb6 Tm12 Cd1'
_cell_length_a 8.3606
_cell_length_b 8.3606
_cell_length_c 8.3606
_cell_angle_alpha 88.89
_cell_angle_beta 88.89
_cell_angle_gamma 88.89
_symmetry_space_group_name_H-M 'P 1'
_symmetry_Int_Tables_number 1
_symmetry_space_group_name_Hall 'P 1'
loop_
_atom_site_label
_atom_site_type_symbol
_atom_site_fract_x
_atom_site_fract_y
_atom_site_fract_z
Tm1 Tm 0.0147 0.1823 0.3624
Tm2 Tm 0.6376 0.9853 0.8177
Tm3 Tm 0.1823 0.3624 0.0147
Tm4 Tm 0.5378 0.4365 0.7795
Tm5 Tm 0.8177 0.6376 0.9853
Tm6 Tm 0.3624 0.0147 0.1823
Tb1 Tb 0.7046 0.2617 0.0952
Cd1 Cd 0.0000 0.0000 0.0000
Tb2 Tb 0.7383 0.9048 0.2954
Tb3 Tb 0.2954 0.7383 0.9048
Tm7 Tm 0.4365 0.7795 0.5378
Tm8 Tm 0.5635 0.2205 0.4622
Tm9 Tm 0.9853 0.8177 0.6376
Tb4 Tb 0.9048 0.2954 0.7383
Tb5 Tb 0.0952 0.7046 0.2617
Tm10 Tm 0.7795 0.5378 0.4365
Tb6 Tb 0.2617 0.0952 0.7046
Tm11 Tm 0.4622 0.5635 0.2205
Tm12 Tm 0.2205 0.4622 0.5635
```

magnetization: 0.00 μB per cell
ΔH_f (0 K): 0.110 eV per atom

# 2
First-principles (PBE-GGA) data for a relaxed structure of Tb2Tm3Cd, as listed in the Alexandria database.

```
data_Tb2Tm3Cd
_chemical_formula_sum 'Tb2 Tm3 Cd1'
_cell_length_a 3.5260
_cell_length_b 3.5259
_cell_length_c 14.0758
_cell_angle_alpha 90.00
_cell_angle_beta 90.00
_cell_angle_gamma 90.00
_symmetry_space_group_name_H-M 'P 1'
_symmetry_Int_Tables_number 1
_symmetry_space_group_name_Hall 'P 1'
loop_
_atom_site_label
_atom_site_type_symbol
_atom_site_fract_x
_atom_site_fract_y
_atom_site_fract_z
Tb1 Tb 0.5000 0.5000 0.1771
Tb2 Tb 0.5000 0.5000 0.8229
Tm1 Tm 0.0000 0.0000 0.6463
Cd1 Cd 0.5000 0.5000 0.5000
Tm2 Tm 0.0000 0.0000 0.3537
Tm3 Tm 0.0000 0.0000 0.0000
```

magnetization: 0.00 μB per cell
ΔH_f (0 K): -0.092 eV per atom

# 3
First-principles (PBE-GGA) data for a relaxed structure of Tb3Tm2Cd6, as listed in the Alexandria database.

```
data_Tb3Tm2Cd6
_chemical_formula_sum 'Tb3 Tm2 Cd6'
_cell_length_a 4.1477
_cell_length_b 4.1477
_cell_length_c 18.4716
_cell_angle_alpha 96.45
_cell_angle_beta 96.45
_cell_angle_gamma 90.00
_symmetry_space_group_name_H-M 'P 1'
_symmetry_Int_Tables_number 1
_symmetry_space_group_name_Hall 'P 1'
loop_
_atom_site_label
_atom_site_type_symbol
_atom_site_fract_x
_atom_site_fract_y
_atom_site_fract_z
Tb1 Tb 0.0000 0.0000 0.0000
Tm1 Tm 0.3657 0.3657 0.7314
Cd1 Cd 0.4323 0.9323 0.8646
Tm2 Tm 0.6343 0.6343 0.2686
Tb2 Tb 0.8144 0.8144 0.6287
Cd2 Cd 0.7253 0.7253 0.4507
Cd3 Cd 0.2747 0.2747 0.5493
Tb3 Tb 0.1856 0.1856 0.3713
Cd4 Cd 0.0677 0.5677 0.1354
Cd5 Cd 0.5677 0.0677 0.1354
Cd6 Cd 0.9323 0.4323 0.8646
```

magnetization: 0.00 μB per cell
ΔH_f (0 K): 0.023 eV per atom

# 4
First-principles (PBE-GGA) data for a relaxed structure of Tb2TmCd4, as listed in the Alexandria database.

```
data_Tb2TmCd4
_chemical_formula_sum 'Tb2 Tm1 Cd4'
_cell_length_a 5.3061
_cell_length_b 5.3061
_cell_length_c 7.8599
_cell_angle_alpha 109.73
_cell_angle_beta 109.73
_cell_angle_gamma 90.00
_symmetry_space_group_name_H-M 'P 1'
_symmetry_Int_Tables_number 1
_symmetry_space_group_name_Hall 'P 1'
loop_
_atom_site_label
_atom_site_type_symbol
_atom_site_fract_x
_atom_site_fract_y
_atom_site_fract_z
Tb1 Tb 0.2579 0.2579 0.5158
Tm1 Tm 0.0000 0.0000 0.0000
Cd1 Cd 0.3871 0.8871 0.7741
Cd2 Cd 0.8871 0.3871 0.7741
Tb2 Tb 0.7421 0.7421 0.4842
Cd3 Cd 0.6129 0.1129 0.2259
Cd4 Cd 0.1129 0.6129 0.2259
```

magnetization: 0.21 μB per cell
ΔH_f (0 K): -0.156 eV per atom